Run i
NaZrInNi, optimized geometry, DFT GGA-PBE; total moment = 0.005 μB/f.u.; mass density = 6.2 Mg/m³; volume = 19.2 Å³ per atom; space group = No. 216
1.0
6.748 0.000 0.000
0.000 6.748 0.000
0.000 0.000 6.748
Na Zr In Ni
4 4 4 4
direct
0.000 0.000 0.000
0.000 0.500 0.500
0.500 0.000 0.500
0.500 0.500 0.000
0.000 0.000 0.500
0.000 0.500 0.000
0.500 0.000 0.000
0.500 0.500 0.500
0.250 0.250 0.750
0.250 0.750 0.250
0.750 0.250 0.250
0.750 0.750 0.750
0.250 0.250 0.250
0.250 0.750 0.750
0.750 0.250 0.750
0.750 0.750 0.250

Run ii
NaZrInNi, optimized geometry, DFT GGA-PBE; total moment = 0.002 μB/f.u.; mass density = 6.7 Mg/m³; volume = 17.9 Å³ per atom; space group = No. 216
1.0
6.586 0.000 0.000
0.000 6.586 0.000
0.000 0.000 6.586
Na Zr In Ni
4 4 4 4
direct
0.000 0.000 0.000
0.000 0.500 0.500
0.500 0.000 0.500
0.500 0.500 0.000
0.250 0.250 0.750
0.250 0.750 0.250
0.750 0.250 0.250
0.750 0.750 0.750
0.250 0.250 0.250
0.250 0.750 0.750
0.750 0.250 0.750
0.750 0.750 0.250
0.000 0.000 0.500
0.000 0.500 0.000
0.500 0.000 0.000
0.500 0.500 0.500

Computed energies relative to the best structure, in meV/atom: run i 156; run ii 0

Run i
NaInOs, optimized geometry, DFT GGA-PBE; total moment = 0.023 μB/f.u.; mass density = 8.1 Mg/m³; volume = 22.5 Å³ per atom; space group = No. 216
1.0
6.461 0.000 0.000
0.000 6.461 0.000
0.000 0.000 6.461
Na In Os
4 4 4
direct
0.000 0.000 0.000
0.000 0.500 0.500
0.500 0.000 0.500
0.500 0.500 0.000
0.000 0.000 0.500
0.000 0.500 0.000
0.500 0.000 0.000
0.500 0.500 0.500
0.250 0.250 0.750
0.250 0.750 0.250
0.750 0.250 0.250
0.750 0.750 0.750

Run ii
NaInOs, optimized geometry, DFT GGA-PBE; total moment = 1.623 μB/f.u.; mass density = 8.3 Mg/m³; volume = 21.8 Å³ per atom; space group = No. 216
1.0
6.400 0.000 0.000
0.000 6.400 0.000
0.000 0.000 6.400
Na In Os
4 4 4
direct
0.000 0.000 0.000
0.000 0.500 0.500
0.500 0.000 0.500
0.500 0.500 0.000
0.250 0.250 0.750
0.250 0.750 0.250
0.750 0.250 0.250
0.750 0.750 0.750
0.250 0.250 0.250
0.250 0.750 0.750
0.750 0.250 0.750
0.750 0.750 0.250

Computed energies relative to the best structure, in meV/atom: run i 0; run ii 507

Run i
NaInSnPd, optimized geometry, DFT GGA-PBE; mass density = 7.0 Mg/m³; volume = 21.5 Å³ per atom; space group = No. 216
1.0
7.008 0.000 0.000
0.000 7.008 0.000
0.000 0.000 7.008
Na In Sn Pd
4 4 4 4
direct
0.000 0.000 0.000
0.000 0.500 0.500
0.500 0.000 0.500
0.500 0.500 0.000
0.250 0.250 0.750
0.250 0.750 0.250
0.750 0.250 0.250
0.750 0.750 0.750
0.000 0.000 0.500
0.000 0.500 0.000
0.500 0.000 0.000
0.500 0.500 0.500
0.250 0.250 0.250
0.250 0.750 0.750
0.750 0.250 0.750
0.750 0.750 0.250

Run ii
NaInSnPd, optimized geometry, DFT GGA-PBE; mass density = 7.0 Mg/m³; volume = 21.4 Å³ per atom; space group = No. 216
1.0
7.001 0.000 0.000
0.000 7.001 0.000
0.000 0.000 7.001
Na In Sn Pd
4 4 4 4
direct
0.000 0.000 0.000
0.000 0.500 0.500
0.500 0.000 0.500
0.500 0.500 0.000
0.000 0.000 0.500
0.000 0.500 0.000
0.500 0.000 0.000
0.500 0.500 0.500
0.250 0.250 0.750
0.250 0.750 0.250
0.750 0.250 0.250
0.750 0.750 0.750
0.250 0.250 0.250
0.250 0.750 0.750
0.750 0.250 0.750
0.750 0.750 0.250

Run iii
NaInSnPd, optimized geometry, DFT GGA-PBE; mass density = 7.3 Mg/m³; volume = 20.6 Å³ per atom; space group = No. 216
1.0
6.908 0.000 0.000
0.000 6.908 0.000
0.000 0.000 6.908
Na In Sn Pd
4 4 4 4
direct
0.000 0.000 0.000
0.000 0.500 0.500
0.500 0.000 0.500
0.500 0.500 0.000
0.250 0.250 0.250
0.250 0.750 0.750
0.750 0.250 0.750
0.750 0.750 0.250
0.250 0.250 0.750
0.250 0.750 0.250
0.750 0.250 0.250
0.750 0.750 0.750
0.000 0.000 0.500
0.000 0.500 0.000
0.500 0.000 0.000
0.500 0.500 0.500

Computed energies relative to the best structure, in meV/atom: run i 93; run ii 113; run iii 0